Arrangement P

First-principles (PBE) data for a relaxed OsC3N crystal, as listed in Alexandria.

Lattice parameters (Å, degrees): 3.984 3.984 3.984 90.00 90.00 90.00
Each line ends with the local moment (μB).
Fractional coordinates of all 5 atoms:
C 0.000 0.000 0.500  -0.46
C 0.500 0.000 0.000  -0.17
C 0.000 0.500 0.000  -0.26
N 0.500 0.500 0.500  1.54
Os 0.000 0.000 0.000  0.38

---

Arrangement Q

First-principles (PBE) data for a relaxed OsC3N crystal, as listed in Alexandria.

Lattice parameters (Å, degrees): 3.421 3.421 3.421 90.00 90.00 90.00
Fractional coordinates of all 5 atoms:
N 0.000 0.000 0.000
C 0.000 0.000 0.500
C 0.500 0.000 0.000
C 0.000 0.500 0.000
Os 0.500 0.500 0.500

---

Short version: arrangement P is the most stable of them.

---

Arrangement P

First-principles (PBE) data for a relaxed OsCS2N crystal, as listed in Alexandria.

Lattice parameters (Å, degrees): 4.730 4.730 3.667 90.00 90.00 90.00
Each line ends with the local moment (μB).
Fractional coordinates of all 5 atoms:
N 0.000 0.000 0.500  0.01
C 0.500 0.500 0.500  0.51
S 0.000 0.500 0.000  -0.21
S 0.500 0.000 0.000  -0.21
Os 0.000 0.000 0.000  -0.15

---

Arrangement Q

First-principles (PBE) data for a relaxed OsCS2N crystal, as listed in Alexandria.

Lattice parameters (Å, degrees): 3.926 3.926 3.525 90.00 90.00 90.00
Fractional coordinates of all 5 atoms:
Os 0.500 0.500 0.500
S 0.500 0.000 0.000
S 0.000 0.500 0.000
C 0.000 0.000 0.000
N 0.000 0.000 0.500

---

Short version: arrangement P is the most stable of them.

---

Arrangement P

First-principles (PBE) data for a relaxed PRuCN crystal, as listed in Alexandria.

Lattice parameters (Å, degrees): 2.867 2.727 11.148 90.00 90.00 90.00
Fractional coordinates of all 8 atoms:
N 0.500 0.000 0.532
N 0.500 0.500 0.032
P 0.500 0.500 0.630
P 0.500 0.000 0.130
Ru 0.000 0.000 0.395
Ru 0.000 0.500 0.895
C 0.000 0.500 0.716
C 0.000 0.000 0.216

---

Arrangement Q

First-principles (PBE) data for a relaxed PRuCN crystal, as listed in Alexandria.

Lattice parameters (Å, degrees): 3.714 2.866 4.348 90.00 96.97 90.00
Fractional coordinates of all 4 atoms:
P 0.164 0.500 0.309
C 0.454 0.500 0.997
Ru 0.114 0.000 0.714
N 0.813 0.500 0.015

---

Short version: arrangement Q is the most stable of them.

---

Arrangement P

First-principles (PBE) data for a relaxed PaCN crystal, as listed in Alexandria.

Lattice parameters (Å, degrees): 3.540 3.540 3.916 116.87 116.87 90.00
Fractional coordinates of all 3 atoms:
Pa 0.286 0.286 0.571
C 0.895 0.895 0.790
N 0.669 0.669 0.338

---

Arrangement Q

First-principles (PBE) data for a relaxed PaCN crystal, as listed in Alexandria.

Lattice parameters (Å, degrees): 3.811 3.847 6.647 96.53 90.00 119.69
Fractional coordinates of all 6 atoms:
C 0.937 0.874 0.070
C 0.063 0.126 0.930
N 0.349 0.699 0.626
N 0.651 0.301 0.374
Pa 0.700 0.399 0.726
Pa 0.300 0.601 0.274

---

Arrangement R

First-principles (PBE) data for a relaxed PaCN crystal, as listed in Alexandria.

Lattice parameters (Å, degrees): 3.886 3.886 3.886 60.00 60.00 60.00
Fractional coordinates of all 3 atoms:
N 0.500 0.500 0.500
Pa 0.250 0.250 0.250
C 0.000 0.000 0.000

---

Short version: arrangement Q is the most stable of them.

---

Arrangement P

First-principles (PBE) data for a relaxed Pa2CN crystal, as listed in Alexandria.

Lattice parameters (Å, degrees): 3.433 3.433 6.478 74.64 74.64 60.00
Fractional coordinates of all 4 atoms:
Pa 0.772 0.772 0.684
Pa 0.945 0.945 0.164
C 0.359 0.359 0.923
N 0.191 0.191 0.428

---

Arrangement Q

First-principles (PBE) data for a relaxed Pa2CN crystal, as listed in Alexandria.

Lattice parameters (Å, degrees): 3.560 3.560 6.131 73.12 73.12 60.00
Fractional coordinates of all 4 atoms:
Pa 0.249 0.249 0.252
Pa 0.751 0.751 0.748
C 0.000 0.000 0.000
N 0.500 0.500 0.500

---

Short version: arrangement Q is the most stable of them.

---

Arrangement P

First-principles (PBE) data for a relaxed PbCS2N crystal, as listed in Alexandria.

Lattice parameters (Å, degrees): 4.234 4.234 4.328 90.00 90.00 90.00
Each line ends with the local moment (μB).
Fractional coordinates of all 5 atoms:
Pb 0.500 0.500 0.500  0.00
C 0.000 0.000 0.000  -0.05
S 0.000 0.500 0.000  0.11
S 0.500 0.000 0.000  0.11
N 0.000 0.000 0.500  1.03

---

Arrangement Q

First-principles (PBE) data for a relaxed PbCS2N crystal, as listed in Alexandria.

Lattice parameters (Å, degrees): 5.367 5.367 4.438 90.00 90.00 90.00
Each line ends with the local moment (μB).
Fractional coordinates of all 5 atoms:
N 0.000 0.000 0.500  1.10
S 0.500 0.000 0.000  0.09
S 0.000 0.500 0.000  0.09
C 0.500 0.500 0.500  0.02
Pb 0.000 0.000 0.000  -0.04

---

Short version: arrangement P is the most stable of them.

---

Arrangement P

First-principles (PBE) data for a relaxed TePbCN2 crystal, as listed in Alexandria.

Lattice parameters (Å, degrees): 4.189 4.189 4.416 90.00 90.00 90.00
Each line ends with the local moment (μB).
Fractional coordinates of all 5 atoms:
C 0.000 0.000 0.000  -0.05
Pb 0.500 0.500 0.500  -0.03
N 0.500 0.000 0.000  0.61
N 0.000 0.500 0.000  0.61
Te 0.000 0.000 0.500  0.06

---

Arrangement Q

First-principles (PBE) data for a relaxed TePbCN2 crystal, as listed in Alexandria.

Lattice parameters (Å, degrees): 4.269 4.269 6.491 90.00 90.00 90.00
Each line ends with the local moment (μB).
Fractional coordinates of all 5 atoms:
Pb 0.000 0.000 0.000  -0.04
C 0.500 0.500 0.500  0.49
N 0.500 0.000 0.000  0.98
N 0.000 0.500 0.000  0.98
Te 0.000 0.000 0.500  0.08

---

Short version: arrangement P is the most stable of them.

---

Arrangement P

First-principles (PBE) data for a relaxed PdC2N2 crystal, as listed in Alexandria.

Lattice parameters (Å, degrees): 6.643 6.643 3.553 90.00 90.00 90.00
Fractional coordinates of all 10 atoms:
Pd 0.000 0.000 0.000
Pd 0.500 0.500 0.500
C 0.711 0.289 0.500
C 0.211 0.211 0.000
C 0.789 0.789 0.000
C 0.289 0.711 0.500
N 0.663 0.663 0.000
N 0.163 0.837 0.500
N 0.337 0.337 0.000
N 0.837 0.163 0.500

---

Arrangement Q

First-principles (PBE) data for a relaxed PdC2N2 crystal, as listed in Alexandria.

Lattice parameters (Å, degrees): 3.007 3.007 5.798 74.97 74.97 90.00
Fractional coordinates of all 5 atoms:
N 0.250 0.750 0.500
N 0.750 0.250 0.500
Pd 0.000 0.000 0.000
C 0.808 0.808 0.385
C 0.192 0.192 0.615

---

Short version: arrangement P is the most stable of them.